Entry 1:
# Pm4PuSn5 | Alexandria via LeMat-Bulk | PBE | relaxed
data_Pm4PuSn5
_chemical_formula_sum 'Pm4 Pu1 Sn5'
_cell_length_a 4.1087
_cell_length_b 4.1087
_cell_length_c 16.6278
_cell_angle_alpha 90.00
_cell_angle_beta 90.00
_cell_angle_gamma 90.00
_symmetry_space_group_name_H-M 'P 1'
_symmetry_Int_Tables_number 1
_symmetry_space_group_name_Hall 'P 1'
loop_
_atom_site_label
_atom_site_type_symbol
_atom_site_fract_x
_atom_site_fract_y
_atom_site_fract_z
Pm1 Pm 0.0000 0.0000 0.1954
Pm2 Pm 0.0000 0.0000 0.3989
Pm3 Pm 0.0000 0.0000 0.6011
Pm4 Pm 0.0000 0.0000 0.8046
Pu1 Pu 0.0000 0.0000 0.0000
Sn1 Sn 0.5000 0.5000 0.0981
Sn2 Sn 0.5000 0.5000 0.2980
Sn3 Sn 0.5000 0.5000 0.5000
Sn4 Sn 0.5000 0.5000 0.7020
Sn5 Sn 0.5000 0.5000 0.9019
# Energy of formation from the pure elements, kJ/mol of formula units: -555
# DOS at the Fermi energy, states/eV/f.u.: 16.1
# Uncorrected energy, hartree per atom: -0.21720
# Crystal system: tetragonal
# Calculated volume, Å³ per cell: 280.70

Entry 2:
# DyPuSi | Alexandria via LeMat-Bulk | PBE | relaxed
data_DyPuSi
_chemical_formula_sum 'Dy1 Pu1 Si1'
_cell_length_a 3.5796
_cell_length_b 3.5796
_cell_length_c 7.0415
_cell_angle_alpha 90.00
_cell_angle_beta 90.00
_cell_angle_gamma 120.00
_symmetry_space_group_name_H-M 'P 1'
_symmetry_Int_Tables_number 1
_symmetry_space_group_name_Hall 'P 1'
loop_
_atom_site_label
_atom_site_type_symbol
_atom_site_fract_x
_atom_site_fract_y
_atom_site_fract_z
Si1 Si 0.6667 0.3333 0.3345
Dy1 Dy 0.0000 0.0000 0.0500
Pu1 Pu 0.3333 0.6667 0.6155
# Energy relative to the elements, uncorrected, eV/atom: -0.071
# DOS at the Fermi energy, states/eV/f.u.: 6.9
# Uncorrected energy, hartree per atom: -0.30100
# Crystal system: trigonal
# Calculated volume, Å³ per cell: 78.14

Entry 3:
# Ba2SbMoPt | Alexandria via LeMat-Bulk | PBE | relaxed
data_Ba2SbMoPt
_chemical_formula_sum 'Ba2 Sb1 Mo1 Pt1'
_cell_length_a 6.5328
_cell_length_b 5.1098
_cell_length_c 6.5328
_cell_angle_alpha 90.00
_cell_angle_beta 90.00
_cell_angle_gamma 90.00
_symmetry_space_group_name_H-M 'P 1'
_symmetry_Int_Tables_number 1
_symmetry_space_group_name_Hall 'P 1'
loop_
_atom_site_label
_atom_site_type_symbol
_atom_site_fract_x
_atom_site_fract_y
_atom_site_fract_z
Sb1 Sb 0.0000 0.0000 0.0000
Mo1 Mo 0.0000 0.5000 0.0000
Ba1 Ba 0.0000 0.0000 0.5000
Ba2 Ba 0.5000 0.0000 0.0000
Pt1 Pt 0.5000 0.5000 0.5000
# Energy relative to the elements, uncorrected, eV/atom: 0.602
# DOS at the Fermi energy, states/eV/f.u.: 4.9
# Uncorrected energy, hartree per atom: -0.16043
# Crystal system: tetragonal
# Calculated volume, Å³ per cell: 218.07

Entry 4:
# ZnAgIr3 | Alexandria via LeMat-Bulk | PBE | relaxed
data_ZnAgIr3
_chemical_formula_sum 'Zn1 Ag1 Ir3'
_cell_length_a 4.8127
_cell_length_b 4.8127
_cell_length_c 4.8127
_cell_angle_alpha 90.00
_cell_angle_beta 90.00
_cell_angle_gamma 90.00
_symmetry_space_group_name_H-M 'P 1'
_symmetry_Int_Tables_number 1
_symmetry_space_group_name_Hall 'P 1'
loop_
_atom_site_label
_atom_site_type_symbol
_atom_site_fract_x
_atom_site_fract_y
_atom_site_fract_z
Zn1 Zn 0.5000 0.5000 0.5000
Ir1 Ir 0.0000 0.5000 0.0000
Ir2 Ir 0.0000 0.0000 0.5000
Ir3 Ir 0.5000 0.0000 0.0000
Ag1 Ag 0.0000 0.0000 0.0000
# Energy of formation from the pure elements, kJ/mol of formula units: 1137
# DOS at the Fermi energy, states/eV/f.u.: 9.3
# Uncorrected energy, hartree per atom: -0.13905
# Crystal system: cubic
# Calculated volume, Å³ per cell: 111.47

Entry 5:
# YCd2Hg | Alexandria via LeMat-Bulk | PBE | relaxed
data_YCd2Hg
_chemical_formula_sum 'Y1 Cd2 Hg1'
_cell_length_a 9.6969
_cell_length_b 9.6969
_cell_length_c 9.6969
_cell_angle_alpha 21.31
_cell_angle_beta 21.31
_cell_angle_gamma 21.31
_symmetry_space_group_name_H-M 'P 1'
_symmetry_Int_Tables_number 1
_symmetry_space_group_name_Hall 'P 1'
loop_
_atom_site_label
_atom_site_type_symbol
_atom_site_fract_x
_atom_site_fract_y
_atom_site_fract_z
Cd1 Cd 0.9950 0.9950 0.9950
Cd2 Cd 0.5050 0.5050 0.5050
Hg1 Hg 0.2500 0.2500 0.2500
Y1 Y 0.7500 0.7500 0.7500
# Energy of formation from the pure elements, kJ/mol of formula units: -33
# DOS at the Fermi energy, states/eV/f.u.: 1.7
# Uncorrected energy, hartree per atom: -0.08215
# Crystal system: trigonal
# Calculated volume, Å³ per cell: 105.50

Entry 6:
# VTe | Alexandria via LeMat-Bulk | PBE | relaxed
data_VTe
_chemical_formula_sum 'V4 Te4'
_cell_length_a 6.1679
_cell_length_b 6.1679
_cell_length_c 5.2144
_cell_angle_alpha 90.00
_cell_angle_beta 90.00
_cell_angle_gamma 90.00
_symmetry_space_group_name_H-M 'P 1'
_symmetry_Int_Tables_number 1
_symmetry_space_group_name_Hall 'P 1'
loop_
_atom_site_label
_atom_site_type_symbol
_atom_site_fract_x
_atom_site_fract_y
_atom_site_fract_z
V1 V 0.3771 0.6229 0.0000
V2 V 0.8771 0.8771 0.5000
V3 V 0.1229 0.1229 0.5000
V4 V 0.6229 0.3771 0.0000
Te1 Te 0.2110 0.2110 0.0000
Te2 Te 0.7110 0.2890 0.5000
Te3 Te 0.2890 0.7110 0.5000
Te4 Te 0.7890 0.7890 0.0000
# Energy relative to the elements, uncorrected, eV/atom: 0.099
# DOS at the Fermi energy, states/eV/f.u.: 1.5
# Uncorrected energy, hartree per atom: -0.22165
# Crystal system: tetragonal
# Calculated volume, Å³ per cell: 198.37

Entry 7:
# Sc2Mo | Alexandria via LeMat-Bulk | PBE | relaxed
data_Sc2Mo
_chemical_formula_sum 'Sc2 Mo1'
_cell_length_a 3.3541
_cell_length_b 6.0438
_cell_length_c 3.3541
_cell_angle_alpha 73.89
_cell_angle_beta 90.00
_cell_angle_gamma 106.11
_symmetry_space_group_name_H-M 'P 1'
_symmetry_Int_Tables_number 1
_symmetry_space_group_name_Hall 'P 1'
loop_
_atom_site_label
_atom_site_type_symbol
_atom_site_fract_x
_atom_site_fract_y
_atom_site_fract_z
Mo1 Mo 0.0000 0.0000 0.0000
Sc1 Sc 0.3597 0.7194 0.6403
Sc2 Sc 0.6403 0.2806 0.3597
# Energy of formation from the pure elements, kJ/mol of formula units: 39
# DOS at the Fermi energy, states/eV/f.u.: 4.5
# Uncorrected energy, hartree per atom: -0.28285
# Crystal system: tetragonal
# Calculated volume, Å³ per cell: 62.54

Entry 8:
# CuPt8Rh2 | Alexandria via LeMat-Bulk | PBE | relaxed
data_CuPt8Rh2
_chemical_formula_sum 'Cu1 Pt8 Rh2'
_cell_length_a 4.1224
_cell_length_b 8.0972
_cell_length_c 6.6417
_cell_angle_alpha 52.45
_cell_angle_beta 90.00
_cell_angle_gamma 90.01
_symmetry_space_group_name_H-M 'P 1'
_symmetry_Int_Tables_number 1
_symmetry_space_group_name_Hall 'P 1'
loop_
_atom_site_label
_atom_site_type_symbol
_atom_site_fract_x
_atom_site_fract_y
_atom_site_fract_z
Cu1 Cu 0.5000 0.0000 0.0000
Pt1 Pt 0.0001 0.0391 0.2643
Pt2 Pt 0.0001 0.3034 0.7357
Pt3 Pt 0.5001 0.3272 0.0000
Pt4 Pt 0.5000 0.7617 0.4766
Pt5 Pt 0.5000 0.2383 0.5234
Pt6 Pt 0.4999 0.6728 0.0000
Pt7 Pt 0.9999 0.6966 0.2643
Pt8 Pt 0.9999 0.9609 0.7357
Rh1 Rh 0.0000 0.3793 0.2413
Rh2 Rh 0.0000 0.6207 0.7587
# Energy of formation from the pure elements, kJ/mol of formula units: 133
# DOS at the Fermi energy, states/eV/f.u.: 13.1
# Uncorrected energy, hartree per atom: -0.21964
# Crystal system: orthorhombic
# Calculated volume, Å³ per cell: 175.76

Entry 9:
# YHoGaCo | Alexandria via LeMat-Bulk | PBE | relaxed
data_YHoGaCo
_chemical_formula_sum 'Y1 Ho1 Ga1 Co1'
_cell_length_a 3.8744
_cell_length_b 4.2165
_cell_length_c 5.6430
_cell_angle_alpha 90.00
_cell_angle_beta 110.08
_cell_angle_gamma 90.00
_symmetry_space_group_name_H-M 'P 1'
_symmetry_Int_Tables_number 1
_symmetry_space_group_name_Hall 'P 1'
loop_
_atom_site_label
_atom_site_type_symbol
_atom_site_fract_x
_atom_site_fract_y
_atom_site_fract_z
Y1 Y 0.1422 0.0000 0.2845
Ho1 Ho 0.8586 0.5000 0.7172
Ga1 Ga 0.5647 0.5000 0.1294
Co1 Co 0.4344 0.0000 0.8689
# Energy of formation from the pure elements, kJ/mol of formula units: -152
# DOS at the Fermi energy, states/eV/f.u.: 3.3
# Uncorrected energy, hartree per atom: -0.20904
# Crystal system: orthorhombic
# Calculated volume, Å³ per cell: 86.58

Entry 10:
# Sc2TlCrN | Alexandria via LeMat-Bulk | PBE | relaxed
data_Sc2TlCrN
_chemical_formula_sum 'Sc2 Tl1 Cr1 N1'
_cell_length_a 4.4725
_cell_length_b 4.4725
_cell_length_c 4.1574
_cell_angle_alpha 90.00
_cell_angle_beta 90.00
_cell_angle_gamma 90.00
_symmetry_space_group_name_H-M 'P 1'
_symmetry_Int_Tables_number 1
_symmetry_space_group_name_Hall 'P 1'
loop_
_atom_site_label
_atom_site_type_symbol
_atom_site_fract_x
_atom_site_fract_y
_atom_site_fract_z
Sc1 Sc 0.0000 0.5000 0.0000
Sc2 Sc 0.5000 0.0000 0.0000
Cr1 Cr 0.0000 0.0000 0.5000
Tl1 Tl 0.5000 0.5000 0.5000
N1 N 0.0000 0.0000 0.0000
# Energy relative to the elements, uncorrected, eV/atom: -0.683
# DOS at the Fermi energy, states/eV/f.u.: 3.0
# Uncorrected energy, hartree per atom: -0.26750
# Crystal system: tetragonal
# Calculated volume, Å³ per cell: 83.16

Entry 11:
# SrBe2SeO | Alexandria via LeMat-Bulk | PBE | relaxed
data_SrBe2SeO
_chemical_formula_sum 'Sr1 Be2 Se1 O1'
_cell_length_a 5.6405
_cell_length_b 4.2327
_cell_length_c 5.6405
_cell_angle_alpha 90.00
_cell_angle_beta 90.00
_cell_angle_gamma 90.00
_symmetry_space_group_name_H-M 'P 1'
_symmetry_Int_Tables_number 1
_symmetry_space_group_name_Hall 'P 1'
loop_
_atom_site_label
_atom_site_type_symbol
_atom_site_fract_x
_atom_site_fract_y
_atom_site_fract_z
Sr1 Sr 0.0000 0.0000 0.0000
O1 O 0.0000 0.5000 0.0000
Se1 Se 0.5000 0.5000 0.5000
Be1 Be 0.0000 0.0000 0.5000
Be2 Be 0.5000 0.0000 0.0000
# Energy relative to the elements, uncorrected, eV/atom: 1.047
# DOS at the Fermi energy, states/eV/f.u.: 6.8
# Uncorrected energy, hartree per atom: -0.09071
# Crystal system: tetragonal
# Calculated volume, Å³ per cell: 134.66

The records above give, respectively, magnetization values of 6.19 6.06 3.78 2.66 0.00 1.01 0.00 0.00 0.00 3.10 0.00 μB per formula unit.